This record from the Open Quantum Materials Database describes MgZnCu after structural relaxation. The functional is GGA-PBE.

Cell: 6.2718 3.9143 7.7496 Å, 90.00 90.00 90.00°
Sites, in units of the cell vectors:
Mg 0.0350 0.2500 0.1792
Mg 0.4650 0.7500 0.6792
Mg 0.5350 0.2500 0.3208
Mg 0.9650 0.7500 0.8208
Zn 0.1492 0.2500 0.5555
Zn 0.3508 0.7500 0.0555
Zn 0.6492 0.2500 0.9445
Zn 0.8508 0.7500 0.4445
Cu 0.2418 0.7500 0.3659
Cu 0.2582 0.2500 0.8659
Cu 0.7418 0.7500 0.1341
Cu 0.7582 0.2500 0.6341

## Properties
* E: -2.283 eV per atom